Record 1
This record from the Alexandria database describes Na3LaCr at its PBEsol-relaxed geometry. The functional is SCAN.

Calculated values
The final energy is -13.48 eV/atom. For the total magnetization, the calculation gives 1.87 μB/cell. The formation energy comes out at 1.35 eV per atom.

Cell and atoms, written as POSCAR:
```
Na3LaCr
1.0
6.240 0.000 0.000
0.000 6.240 0.000
0.000 0.000 6.240
Cr Na La
1 3 1
Cartesian
3.120 3.120 3.120
0.000 3.120 0.000
0.000 0.000 3.120
3.120 0.000 0.000
0.000 0.000 0.000
```

Record 2
This record from the Alexandria database describes LaNbCr3 at its PBEsol-relaxed geometry. The functional is SCAN.

Calculated values
The final energy is -25.47 eV/atom. For the total magnetization, the calculation gives 8.01 μB/cell. The formation energy comes out at 0.81 eV per atom. The relative energy among the computed polymorphs is 0 meV/atom.

Cell and atoms, written as POSCAR:
```
LaNbCr3
1.0
4.726 0.000 0.000
0.000 4.726 0.000
0.000 0.000 4.726
Cr Nb La
3 1 1
Cartesian
0.000 2.363 0.000
0.000 0.000 2.363
2.363 0.000 0.000
0.000 0.000 0.000
2.363 2.363 2.363
```